VASP calculation (PBE) on crystalline ErMgGa3 at its relaxed geometry.

Cell: 4.1742 4.0276 12.3573 Å, 99.38 90.00 90.00°
Last column: nearest neighbours and their distance in Å.
Fractional coordinates of all 10 atoms:
1 Ga 0.2500 0.4749 0.9498  3 Ga 2.42-2.43
2 Ga 0.2500 0.6816 0.3633  2 Ga 2.51, 1 Mg 2.72
3 Mg 0.7500 0.2067 0.4133  7 Ga 2.72-2.96
4 Ga 0.7500 0.5251 0.0502  3 Ga 2.42-2.43
5 Ga 0.7500 0.3184 0.6367  2 Ga 2.51, 1 Mg 2.72
6 Mg 0.2500 0.7933 0.5867  7 Ga 2.72-2.96
7 Er 0.7500 0.9247 0.8495  12 Ga 3.14-3.28
8 Er 0.2500 0.0753 0.1505  12 Ga 3.14-3.28
9 Ga 0.7500 0.6247 0.2494  3 Ga 2.43-2.51
10 Ga 0.2500 0.3753 0.7506  3 Ga 2.43-2.51

Output
Total magnetization ... 0.0 μB/cell
ΔE_f ... -0.42 eV/atom
Final energy ... -3.47 eV per atom